VASP calculation (PBE-GGA) on a relaxed ZrFe4 crystal.

```
data_ZrFe4
_symmetry_space_group_name_H-M 'P m -3 m'
_symmetry_Int_Tables_number 221
_symmetry_space_group_name_Hall '-P 4 2 3'
_cell_length_a 4.512
_cell_length_b 4.512
_cell_length_c 4.512
_cell_angle_alpha 90.00
_cell_angle_beta 90.00
_cell_angle_gamma 90.00
loop_
_atom_site_label
_atom_site_type_symbol
_atom_site_fract_x
_atom_site_fract_y
_atom_site_fract_z
Zr1 Zr 0.000 0.000 0.000
Fe1 Fe 0.000 0.000 0.500
Fe2 Fe 0.500 0.500 0.500
```

Summary:
**Size of the total moment**: 1.719 μB/atom
**ΔE to the lowest computed polymorph**: 1730 meV per atom
**Density**: 5.7 Mg/m³
**Calculated total energy**: -6.74 eV/atom
**Calculated formation energy**: 8.71 eV/f.u.

***

VASP calculation (PBE-GGA) on a relaxed Zr3Fe crystal.

```
data_Zr3Fe
_symmetry_space_group_name_H-M 'P 4/m m m'
_symmetry_Int_Tables_number 123
_symmetry_space_group_name_Hall '-P 4 2'
_cell_length_a 3.249
_cell_length_b 3.249
_cell_length_c 7.429
_cell_angle_alpha 90.00
_cell_angle_beta 90.00
_cell_angle_gamma 90.00
loop_
_atom_site_label
_atom_site_type_symbol
_atom_site_fract_x
_atom_site_fract_y
_atom_site_fract_z
Zr1 Zr 0.000 0.000 0.000
Zr2 Zr 0.500 0.500 0.291
Fe1 Fe 0.000 0.000 0.500
```

Summary:
**Size of the total moment**: 0.174 μB/atom
**Density**: 7.0 Mg/m³
**Calculated total energy**: -8.59 eV/atom
**Calculated formation energy**: -0.25 eV/f.u.